No. 1
This record from the Alexandria database describes GaPb3Br at its PBEsol-relaxed geometry. The functional is meta-GGA SCAN.

a b c (Å): 5.5084 5.5084 5.5084
angles (deg): 90.00 90.00 90.00
Fractional coordinates of all 5 atoms:
Ga: 0.0000 0.0000 0.0000
Pb: 0.0000 0.0000 0.5000
Pb: 0.0000 0.5000 0.0000
Pb: 0.5000 0.0000 0.0000
Br: 0.5000 0.5000 0.5000

Results
E_form (uncorrected) (eV per formula unit): 0.87

---

No. 2
This record from the Alexandria database describes Zn2Ag at its PBEsol-relaxed geometry. The functional is meta-GGA SCAN.

a b c (Å): 5.1640 5.1640 6.4923
angles (deg): 103.02 103.02 31.93
Fractional coordinates of all 6 atoms:
Zn: 0.0000 0.0000 0.0000
Zn: 0.0577 0.0577 0.6101
Zn: 0.3870 0.3870 0.2734
Zn: 0.7199 0.7199 0.9404
Ag: 0.3383 0.3383 0.6734
Ag: 0.6627 0.6627 0.3237

Results
DFT formation energy (eV/f.u.): -0.07

---

Number 1: DFT total energy -52.457 eV per atom. Number 2: DFT total energy -19.490 eV per atom.